[1]
An optimized crystal structure of LiHg2I. Source: Alexandria, functional PBEsol.

Computed properties:
magnetic moment: 0.00 Bohr magnetons per cell
symmetry: I-42d
formation energy (no corrections): -0.3767 eV per atom

extended XYZ file:
```
8
Lattice="5.6064 0.0000 0.0000 2.8032 6.4207 0.0000 2.8032 0.0000 6.4207" Properties=species:S:1:pos:R:3 pbc="T T T"
I 0.0000 0.0000 0.0000
I 7.0080 3.2104 3.2104
Hg 4.9056 0.2732 3.4835
Hg 4.9056 6.1476 2.9372
Hg 3.5040 2.9372 0.2732
Hg 9.1105 3.4835 6.1476
Li 2.8032 0.0000 0.0000
Li 4.2048 3.2104 3.2104
```

---

[2]
An optimized crystal structure of Li2Hg2I. Source: Alexandria, functional PBEsol.

Computed properties:
magnetic moment: 0.00 Bohr magnetons per cell
symmetry: P4/mbm
formation energy (no corrections): -0.4135 eV per atom

extended XYZ file:
```
10
Lattice="-1.1214 0.9118 3.8202 -7.1045 -2.2449 -1.5497 1.7537 -7.0703 2.2023" Properties=species:S:1:pos:R:3 pbc="T T T"
I 0.0000 0.0000 0.0000
I -2.6754 -4.6576 0.3263
Hg -0.4354 -4.3875 3.1029
Hg -3.6034 -7.0591 2.8106
Hg -6.0368 -4.0158 1.3699
Hg -2.8688 -1.3442 1.6622
Li -0.9315 -6.6832 1.3217
Li -4.7922 -6.5620 0.1595
Li -4.4194 -2.6320 -0.6691
Li -0.5587 -2.7532 0.4931
```

---

[3]
An optimized crystal structure of LiHgI2. Source: Alexandria, functional PBEsol.

Computed properties:
magnetic moment: 0.00 Bohr magnetons per cell
symmetry: I-42d
formation energy (no corrections): -0.5134 eV per atom

extended XYZ file:
```
8
Lattice="-0.5509 6.5288 -0.7904 -6.1312 -0.7968 -2.3081 0.8236 -2.2928 8.0389" Properties=species:S:1:pos:R:3 pbc="T T T"
I -5.3878 1.4416 -0.3382
I -2.5531 4.5770 0.4845
I -0.4653 -1.0353 5.5486
I -3.3110 1.8951 4.1858
Hg -4.3244 -0.1118 2.0908
Hg 0.0000 0.0000 0.0000
Li -1.5342 3.5510 2.8496
Li -3.3411 2.8660 -1.5493
```

---

[4]
An optimized crystal structure of MnHg3I. Source: Alexandria, functional PBEsol.

Computed properties:
magnetic moment: 4.20 Bohr magnetons per cell
symmetry: Pm-3m
formation energy (no corrections): 0.2955 eV per atom

extended XYZ file:
```
5
Lattice="5.2411 0.0000 0.0000 0.0000 5.2411 0.0000 0.0000 0.0000 5.2411" Properties=species:S:1:pos:R:3 pbc="T T T"
I 2.6205 2.6205 2.6205
Mn 0.0000 0.0000 0.0000
Hg 0.0000 2.6205 0.0000
Hg 0.0000 0.0000 2.6205
Hg 2.6205 0.0000 0.0000
```